A plane-wave DFT calculation with GGA-PBE was carried out for a geometry-optimized Te3Mo structure.

Output
total energy: -35.1 eV/cell

a b c (Å): 5.8133 5.8133 5.8133
angles (deg): 90.00 90.00 90.00
Last column: nearest neighbours and their distance in Å.
Sites, in units of the cell vectors:
Te1 0.0000 0.2500 0.5000  2 Te 2.91, 4 Mo 3.25
Te2 0.0000 0.7500 0.5000  2 Te 2.91, 4 Mo 3.25
Te3 0.2500 0.5000 0.0000  2 Te 2.91, 4 Mo 3.25
Te4 0.5000 0.0000 0.2500  2 Te 2.91, 4 Mo 3.25
Te5 0.5000 0.0000 0.7500  2 Te 2.91, 4 Mo 3.25
Te6 0.7500 0.5000 0.0000  2 Te 2.91, 4 Mo 3.25
Mo1 0.0000 0.0000 0.0000  12 Te 3.25
Mo2 0.5000 0.5000 0.5000  12 Te 3.25

A plane-wave DFT calculation with GGA-PBE was carried out for a geometry-optimized Nd3Tl3VSe8 structure.

Output
total energy: -75.7 eV/cell

a b c (Å): 9.1375 9.1375 9.1375
angles (deg): 54.30 54.30 54.30
Last column: nearest neighbours and their distance in Å.
Sites, in units of the cell vectors:
Nd1 0.0000 0.5000 0.5000  6 Se 2.93-2.97
Nd2 0.5000 0.0000 0.5000  6 Se 2.93-2.97
Nd3 0.5000 0.5000 0.0000  6 Se 2.93-2.97
Tl1 0.0000 0.0000 0.5000  6 Se 3.26-3.28
Tl2 0.0000 0.5000 0.0000  6 Se 3.26-3.28
Tl3 0.5000 0.0000 0.0000  6 Se 3.26-3.28
V1 0.0000 0.0000 0.0000  6 Se 2.62
Se1 0.2129 0.2129 0.7701  1 V 2.62
Se2 0.2129 0.7701 0.2129  1 V 2.62
Se3 0.2299 0.7871 0.7871  1 V 2.62
Se4 0.2613 0.2613 0.2613  3 Nd 2.93, 3 Tl 3.26
Se5 0.7387 0.7387 0.7387  3 Nd 2.93, 3 Tl 3.26
Se6 0.7701 0.2129 0.2129  1 V 2.62
Se7 0.7871 0.2299 0.7871  1 V 2.62
Se8 0.7871 0.7871 0.2299  1 V 2.62

A plane-wave DFT calculation with GGA-PBE was carried out for a geometry-optimized NaAg6F12 structure.

Output
total energy: -65.0 eV/cell

a b c (Å): 6.7636 6.7636 6.7636
angles (deg): 97.62 97.62 97.62
Last column: nearest neighbours and their distance in Å.
Sites, in units of the cell vectors:
Na1 0.0000 0.0000 0.0000  6 F 2.31
Ag1 0.1025 0.2901 0.6004  4 F 2.15-2.20
Ag2 0.2901 0.6004 0.1025  4 F 2.15-2.20
Ag3 0.3996 0.8975 0.7099  4 F 2.15-2.20
Ag4 0.6004 0.1025 0.2901  4 F 2.15-2.20
Ag5 0.7099 0.3996 0.8975  4 F 2.15-2.20
Ag6 0.8975 0.7099 0.3996  4 F 2.15-2.20
F1 0.0688 0.8642 0.6900  2 Ag 2.20, 1 Na 2.31
F2 0.1358 0.3100 0.9312  2 Ag 2.20, 1 Na 2.31
F3 0.1699 0.5777 0.3793  2 Ag 2.15-2.16
F4 0.3100 0.9312 0.1358  2 Ag 2.20, 1 Na 2.31
F5 0.3793 0.1699 0.5777  2 Ag 2.15-2.16
F6 0.4223 0.6207 0.8301  2 Ag 2.15-2.16
F7 0.5777 0.3793 0.1699  2 Ag 2.15-2.16
F8 0.6207 0.8301 0.4223  2 Ag 2.15-2.16
F9 0.6900 0.0688 0.8642  2 Ag 2.20, 1 Na 2.31
F10 0.8301 0.4223 0.6207  2 Ag 2.15-2.16
F11 0.8642 0.6900 0.0688  2 Ag 2.20, 1 Na 2.31
F12 0.9312 0.1358 0.3100  2 Ag 2.20, 1 Na 2.31

A plane-wave DFT calculation with GGA-PBE was carried out for a geometry-optimized AcLa4Tm2 structure.

Output
ΔH_f (0 K): 0.074 eV per atom

a b c (Å): 6.7494 8.8374 9.1630
angles (deg): 88.55 82.19 70.54
Last column: nearest neighbours and their distance in Å.
Sites, in units of the cell vectors:
Ac1 0.0000 0.0000 0.0000  8 La 3.68-3.95, 3 Tm 3.74-3.77, 2 Ac 3.87-3.99
Ac2 0.4331 0.1873 0.8648  3 Tm 3.54-3.65, 5 La 3.75-3.96, 1 Ac 3.87
La1 0.0247 0.5500 0.0559  2 Tm 3.35-3.69, 5 La 3.41-3.73, 1 Ac 3.75
La2 0.1494 0.2085 0.2954  3 Tm 3.50-3.75, 4 La 3.62-3.88, 1 Ac 3.74
La3 0.1748 0.7543 0.3353  4 La 3.36-3.74, 5 Tm 3.36-3.68
La4 0.4209 0.6185 0.8209  5 La 3.40-3.78, 3 Tm 3.44-3.67, 1 Ac 3.80
La5 0.5932 0.3962 0.1574  3 Tm 3.54-3.88, 7 La 3.61-3.94, 2 Ac 3.76-3.83
La6 0.7032 0.0485 0.4035  4 La 3.36-3.75, 3 Tm 3.47-3.73
La7 0.8774 0.7735 0.7140  4 Tm 3.47-3.88, 1 Ac 3.68, 5 La 3.72-3.78
La8 0.8900 0.3298 0.6982  1 La 3.40, 3 Tm 3.51-3.61
Tm1 0.2895 0.9577 0.6129  6 La 3.44-3.67, 2 Ac 3.54-3.77, 1 Tm 3.60
Tm2 0.3429 0.4178 0.5290  6 La 3.36-3.57, 1 Tm 3.55, 1 Ac 3.65
Tm3 0.5515 0.8424 0.1033  4 La 3.35-3.75, 1 Tm 3.55, 2 Ac 3.64-3.74
Tm4 0.7074 0.6258 0.4243  8 La 3.47-3.89, 3 Tm 3.55-3.60

A plane-wave DFT calculation with GGA-PBE was carried out for a geometry-optimized In3SiAu8 structure.

Output
total energy: -82.0 eV/cell

a b c (Å): 9.1330 9.1330 6.6786
angles (deg): 90.00 90.00 120.00
Last column: nearest neighbours and their distance in Å.
Sites, in units of the cell vectors:
In1 0.1768 0.3537 0.0000  7 Au 2.81-3.01
In2 0.1768 0.8232 0.0000  7 Au 2.81-3.01
In3 0.3537 0.1768 0.5000  7 Au 2.81-3.01
In4 0.6463 0.8232 0.0000  7 Au 2.81-3.01
In5 0.8232 0.1768 0.5000  7 Au 2.81-3.01
In6 0.8232 0.6463 0.5000  7 Au 2.81-3.01
Si1 0.3333 0.6667 0.6270  7 Au 2.45-2.71
Si2 0.6667 0.3333 0.1270  7 Au 2.45-2.71
Au1 0.0000 0.0000 0.4640  3 In 2.81, 3 Au 2.85
Au2 0.0000 0.0000 0.9640  3 In 2.81, 3 Au 2.85
Au3 0.0386 0.5193 0.7422  1 Si 2.45
Au4 0.1799 0.3597 0.4513  1 Si 2.70, 3 In 2.84-3.01, 2 Au 2.85-2.87
Au5 0.1799 0.8201 0.4513  1 Si 2.70, 3 In 2.84-3.01, 2 Au 2.85-2.87
Au6 0.3333 0.6667 0.2216  1 Si 2.71, 6 Au 2.87-2.94, 3 In 2.88
Au7 0.3597 0.1799 0.9513  1 Si 2.70, 3 In 2.84-3.01, 2 Au 2.85-2.87
Au8 0.4807 0.5193 0.7422  1 Si 2.45
Au9 0.4807 0.9614 0.7422  1 Si 2.45
Au10 0.5193 0.0386 0.2422  1 Si 2.45
Au11 0.5193 0.4807 0.2422  1 Si 2.45
Au12 0.6403 0.8201 0.4513  1 Si 2.70, 3 In 2.84-3.01, 2 Au 2.85-2.87
Au13 0.6667 0.3333 0.7216  1 Si 2.71, 6 Au 2.87-2.94, 3 In 2.88
Au14 0.8201 0.1799 0.9513  1 Si 2.70, 3 In 2.84-3.01, 2 Au 2.85-2.87
Au15 0.8201 0.6403 0.9513  1 Si 2.70, 3 In 2.84-3.01, 2 Au 2.85-2.87
Au16 0.9614 0.4807 0.2422  1 Si 2.45

A plane-wave DFT calculation with GGA-PBE was carried out for a geometry-optimized YZr2Ge2 structure.

Output
ΔH_f (0 K): -0.730 eV per atom
offset from the most stable computed form: 0.000 eV per atom

a b c (Å): 7.4800 7.4800 3.7465
angles (deg): 90.00 90.00 90.00
Last column: nearest neighbours and their distance in Å.
Sites, in units of the cell vectors:
Y1 0.0000 0.0000 0.0000  4 Ge 2.94
Y2 0.5000 0.5000 0.0000  4 Ge 2.94
Zr1 0.1680 0.3320 0.5000  6 Ge 2.86-2.91
Zr2 0.3320 0.8320 0.5000  6 Ge 2.86-2.91
Zr3 0.6680 0.1680 0.5000  6 Ge 2.86-2.91
Zr4 0.8320 0.6680 0.5000  6 Ge 2.86-2.91
Ge1 0.1276 0.6276 0.0000  1 Ge 2.70, 6 Zr 2.86-2.91, 2 Y 2.94
Ge2 0.3724 0.1276 0.0000  1 Ge 2.70, 6 Zr 2.86-2.91, 2 Y 2.94
Ge3 0.6276 0.8724 0.0000  1 Ge 2.70, 6 Zr 2.86-2.91, 2 Y 2.94
Ge4 0.8724 0.3724 0.0000  1 Ge 2.70, 6 Zr 2.86-2.91, 2 Y 2.94

A plane-wave DFT calculation with GGA-PBE was carried out for a geometry-optimized CrPd4Pt3 structure.

Output
ΔH_f (0 K): -0.002 eV per atom
offset from the most stable computed form: 0.000 eV per atom

a b c (Å): 6.9822 6.9822 6.9822
angles (deg): 157.20 104.33 80.25
Last column: nearest neighbours and their distance in Å.
Sites, in units of the cell vectors:
Cr1 0.0000 0.0000 0.0000  4 Pt 2.54, 4 Pd 2.67, 2 Cr 2.76
Pd1 0.1394 0.8716 0.2678  1 Cr 2.67, 5 Pt 2.70-2.78, 5 Pd 2.74-2.96
Pd2 0.3962 0.1284 0.2678  1 Cr 2.67, 5 Pt 2.70-2.78, 5 Pd 2.74-2.96
Pd3 0.6038 0.8716 0.7322  1 Cr 2.67, 5 Pt 2.70-2.78, 5 Pd 2.74-2.96
Pd4 0.8606 0.1284 0.7322  1 Cr 2.67, 5 Pt 2.70-2.78, 5 Pd 2.74-2.96
Pt1 0.2003 0.7003 0.5000  2 Cr 2.54, 6 Pd 2.70-2.78, 2 Pt 2.76
Pt2 0.5000 0.5000 0.0000  2 Pt 2.76, 8 Pd 2.78
Pt3 0.7997 0.2997 0.5000  2 Cr 2.54, 6 Pd 2.70-2.78, 2 Pt 2.76

A plane-wave DFT calculation with GGA-PBE was carried out for a geometry-optimized Li3Pr2Zn4 structure.

Output
ΔH_f (0 K): -0.167 eV per atom

a b c (Å): 8.3613 8.3613 7.9792
angles (deg): 90.00 90.00 138.59
Last column: nearest neighbours and their distance in Å.
Sites, in units of the cell vectors:
Li1 0.0000 0.0000 0.0000  6 Zn 2.61-2.78
Li2 0.0295 0.4705 0.2500  5 Zn 2.63-2.83
Li3 0.4705 0.0295 0.7500  5 Zn 2.63-2.83
Li4 0.5000 0.5000 0.5000  6 Zn 2.61-2.78
Li5 0.5295 0.9705 0.2500  5 Zn 2.63-2.83
Li6 0.9705 0.5295 0.7500  5 Zn 2.63-2.83
Pr1 0.1154 0.8846 0.4180  8 Zn 3.15-3.35, 6 Li 3.25-3.52
Pr2 0.3846 0.6154 0.9180  8 Zn 3.15-3.35, 6 Li 3.25-3.52
Pr3 0.6154 0.3846 0.0820  8 Zn 3.15-3.35, 6 Li 3.25-3.52
Pr4 0.8846 0.1154 0.5820  8 Zn 3.15-3.35, 6 Li 3.25-3.52
Zn1 0.1775 0.8225 0.0224  5 Li 2.71-2.83
Zn2 0.1978 0.3022 0.2500  3 Li 2.61-2.63
Zn3 0.3022 0.1978 0.7500  3 Li 2.61-2.63
Zn4 0.3225 0.6775 0.5224  5 Li 2.71-2.83
Zn5 0.6775 0.3225 0.4776  5 Li 2.71-2.83
Zn6 0.6978 0.8022 0.2500  3 Li 2.61-2.63
Zn7 0.8022 0.6978 0.7500  3 Li 2.61-2.63
Zn8 0.8225 0.1775 0.9776  5 Li 2.71-2.83

A plane-wave DFT calculation with GGA-PBE was carried out for a geometry-optimized Li2CeMg2Tl2 structure.

Output
ΔH_f (0 K): -0.184 eV per atom

a b c (Å): 8.6768 8.6768 8.6768
angles (deg): 32.31 32.31 32.31
Last column: nearest neighbours and their distance in Å.
Sites, in units of the cell vectors:
Li1 0.0732 0.0732 0.0732  3 Tl 2.84, 3 Mg 2.98
Li2 0.9268 0.9268 0.9268  3 Tl 2.84, 3 Mg 2.98
Ce1 0.5000 0.5000 0.5000  6 Tl 3.31, 2 Mg 3.37, 6 Li 3.62
Mg1 0.3633 0.3633 0.3633  3 Li 2.98, 4 Tl 3.07-3.21, 3 Mg 3.15
Mg2 0.6367 0.6367 0.6367  3 Li 2.98, 4 Tl 3.07-3.21, 3 Mg 3.15
Tl1 0.2389 0.2389 0.2389  3 Li 2.84, 1 Mg 3.07
Tl2 0.7611 0.7611 0.7611  3 Li 2.84, 1 Mg 3.07

A plane-wave DFT calculation with GGA-PBE was carried out for a geometry-optimized Y2OsW structure.

Output
ΔH_f (0 K): 0.512 eV per atom
offset from the most stable computed form: 0.463 eV per atom

a b c (Å): 3.3963 4.7342 4.9526
angles (deg): 90.00 90.00 90.00
Last column: nearest neighbours and their distance in Å.
Sites, in units of the cell vectors:
Y1 0.0000 0.0000 0.0000  4 W 2.91, 4 Y 3.00
Y2 0.5000 0.0000 0.5000  4 Os 2.91, 4 Y 3.00
Os1 0.0000 0.5000 0.5000  4 Y 2.91, 4 W 3.00
W1 0.5000 0.5000 0.0000  4 Y 2.91, 4 Os 3.00

A plane-wave DFT calculation with GGA-PBE was carried out for a geometry-optimized TbPaTe2S structure.

Output
total energy: -61.9 eV/cell

a b c (Å): 4.3189 4.3189 14.8903
angles (deg): 90.00 90.00 90.00
Last column: nearest neighbours and their distance in Å.
Sites, in units of the cell vectors:
Tb1 0.2500 0.2500 0.0863  6 Te 3.10-3.17
Tb2 0.7500 0.7500 0.9137  6 Te 3.10-3.17
Pa1 0.2500 0.2500 0.6145  4 S 2.75
Pa2 0.7500 0.7500 0.3855  4 S 2.75
Te1 0.2500 0.2500 0.2991  1 Tb 3.17, 4 Pa 3.31
Te2 0.2500 0.2500 0.8763  5 Tb 3.10-3.13
Te3 0.7500 0.7500 0.1237  5 Tb 3.10-3.13
Te4 0.7500 0.7500 0.7009  1 Tb 3.17, 4 Pa 3.31
S1 0.2500 0.7500 0.5000  4 Pa 2.75, 4 S 3.05
S2 0.7500 0.2500 0.5000  4 Pa 2.75, 4 S 3.05

| no. | total moment (μB/cell) |
| --- | --- |
| 1 | 2.8 |
| 2 | 1.1 |
| 3 | 5.1 |
| 4 | 0.0 |
| 5 | 0.0 |
| 6 | 0.0 |
| 7 | 2.6 |
| 8 | 0.0 |
| 9 | 0.7 |
| 10 | 0.0 |
| 11 | 2.3 |